Entry 1:
DFT (GGA-PBE) results for a geometry-optimized CeAl4Pd15 structure.

Summary:
- Calculated volume: 310 Å³/cell
- Space group: No. 123
- D(E_F): 15.2 states/eV per cell
- Energy relative to the elements: -643 meV/atom

```
data_CeAl4Pd15
_cell_length_a 3.998
_cell_length_b 3.998
_cell_length_c 19.417
_cell_angle_alpha 90.00
_cell_angle_beta 90.00
_cell_angle_gamma 90.00
_space_group_name_H-M_alt 'P 1'
_space_group_IT_number 1
_space_group_name_Hall 'P 1'
loop_
_atom_site_label
_atom_site_type_symbol
_atom_site_fract_x
_atom_site_fract_y
_atom_site_fract_z
Al1 Al 0.000 0.000 0.211
Al2 Al 0.000 0.000 0.403
Al3 Al 0.000 0.000 0.789
Al4 Al 0.000 0.000 0.597
Pd1 Pd 0.000 0.500 0.695
Ce1 Ce 0.000 0.000 0.000
Pd2 Pd 0.500 0.000 0.695
Pd3 Pd 0.500 0.500 0.207
Pd4 Pd 0.000 0.500 0.500
Pd5 Pd 0.500 0.000 0.500
Pd6 Pd 0.500 0.000 0.109
Pd7 Pd 0.000 0.500 0.305
Pd8 Pd 0.500 0.500 0.793
Pd9 Pd 0.500 0.500 0.597
Pd10 Pd 0.500 0.500 0.000
Pd11 Pd 0.500 0.500 0.403
Pd12 Pd 0.500 0.000 0.891
Pd13 Pd 0.500 0.000 0.305
Pd14 Pd 0.000 0.500 0.891
Pd15 Pd 0.000 0.500 0.109
```



Entry 2:
DFT (GGA-PBE) results for a geometry-optimized AcPr6Te8 structure.

Summary:
- Calculated volume: 526 Å³/cell
- Space group: No. 225
- D(E_F): 7.5 states/eV per cell
- Uncorrected formation energy: -1.47 eV per atom

```
data_AcPr6Te8
_cell_length_a 9.060
_cell_length_b 9.060
_cell_length_c 9.060
_cell_angle_alpha 60.00
_cell_angle_beta 60.00
_cell_angle_gamma 60.00
_space_group_name_H-M_alt 'P 1'
_space_group_IT_number 1
_space_group_name_Hall 'P 1'
loop_
_atom_site_label
_atom_site_type_symbol
_atom_site_fract_x
_atom_site_fract_y
_atom_site_fract_z
Te1 Te 0.262 0.738 0.262
Pr1 Pr 0.000 0.500 0.000
Te2 Te 0.262 0.262 0.738
Pr2 Pr 0.000 0.500 0.500
Te3 Te 0.262 0.738 0.738
Ac1 Ac 0.000 0.000 0.000
Te4 Te 0.738 0.262 0.738
Te5 Te 0.738 0.262 0.262
Te6 Te 0.738 0.738 0.262
Pr3 Pr 0.500 0.000 0.500
Pr4 Pr 0.500 0.000 0.000
Pr5 Pr 0.000 0.000 0.500
Pr6 Pr 0.500 0.500 0.000
Te7 Te 0.750 0.750 0.750
Te8 Te 0.250 0.250 0.250
```



Entry 3:
DFT (GGA-PBE) results for a geometry-optimized LiHoAg2Br6 structure.

Summary:
- Calculated volume: 284 Å³/cell
- Space group: No. 146
- D(E_F): 0.0 states/eV per cell
- Uncorrected formation energy: -1.16 eV per atom

```
data_LiHoAg2Br6
_cell_length_a 7.116
_cell_length_b 7.117
_cell_length_c 7.666
_cell_angle_alpha 62.34
_cell_angle_beta 62.34
_cell_angle_gamma 59.98
_space_group_name_H-M_alt 'P 1'
_space_group_IT_number 1
_space_group_name_Hall 'P 1'
loop_
_atom_site_label
_atom_site_type_symbol
_atom_site_fract_x
_atom_site_fract_y
_atom_site_fract_z
Ho1 Ho 0.326 0.326 0.023
Ag1 Ag 0.518 0.518 0.446
Br1 Br 0.215 0.934 0.263
Br2 Br 0.718 0.089 0.760
Br3 Br 0.434 0.718 0.760
Br4 Br 0.587 0.215 0.263
Ag2 Ag 0.018 0.018 0.946
Br5 Br 0.935 0.587 0.263
Li1 Li 0.823 0.822 0.532
Br6 Br 0.089 0.434 0.760
```



Entry 4:
DFT (GGA-PBE) results for a geometry-optimized GeBi3Pb12 structure.

Summary:
- Calculated volume: 497 Å³/cell
- Space group: No. 123
- D(E_F): 8.4 states/eV per cell
- Energy relative to the elements: 46 meV/atom

```
data_GeBi3Pb12
_cell_length_a 5.105
_cell_length_b 5.105
_cell_length_c 19.071
_cell_angle_alpha 90.00
_cell_angle_beta 90.00
_cell_angle_gamma 90.00
_space_group_name_H-M_alt 'P 1'
_space_group_IT_number 1
_space_group_name_Hall 'P 1'
loop_
_atom_site_label
_atom_site_type_symbol
_atom_site_fract_x
_atom_site_fract_y
_atom_site_fract_z
Pb1 Pb 0.000 0.500 0.116
Pb2 Pb 0.000 0.500 0.372
Pb3 Pb 0.500 0.000 0.628
Pb4 Pb 0.000 0.500 0.628
Bi1 Bi 0.000 0.000 0.500
Bi2 Bi 0.000 0.000 0.246
Pb5 Pb 0.500 0.500 0.000
Pb6 Pb 0.500 0.000 0.372
Ge1 Ge 0.000 0.000 0.000
Pb7 Pb 0.500 0.500 0.244
Pb8 Pb 0.500 0.000 0.884
Pb9 Pb 0.500 0.500 0.500
Pb10 Pb 0.500 0.000 0.116
Pb11 Pb 0.000 0.500 0.884
Bi3 Bi 0.000 0.000 0.754
Pb12 Pb 0.500 0.500 0.756
```



Entry 5:
DFT (GGA-PBE) results for a geometry-optimized LiSiAs3 structure.

Summary:
- Calculated volume: 95 Å³/cell
- Space group: No. 221
- D(E_F): 3.5 states/eV per cell
- Offset from the most stable computed form: 298 meV per atom
- Uncorrected formation energy: 0.71 eV per atom

```
data_LiSiAs3
_cell_length_a 4.566
_cell_length_b 4.566
_cell_length_c 4.566
_cell_angle_alpha 90.00
_cell_angle_beta 90.00
_cell_angle_gamma 90.00
_space_group_name_H-M_alt 'P 1'
_space_group_IT_number 1
_space_group_name_Hall 'P 1'
loop_
_atom_site_label
_atom_site_type_symbol
_atom_site_fract_x
_atom_site_fract_y
_atom_site_fract_z
As1 As 0.000 0.500 0.000
As2 As 0.000 0.000 0.500
Si1 Si 0.500 0.500 0.500
Li1 Li 0.000 0.000 0.000
As3 As 0.500 0.000 0.000
```



Entry 6:
DFT (GGA-PBE) results for a geometry-optimized GaNiOs structure.

Summary:
- Calculated volume: 160 Å³/cell
- Space group: No. 5
- D(E_F): 10.9 states/eV per cell
- Energy relative to the elements: -8 meV/atom

```
data_GaNiOs
_cell_length_a 5.177
_cell_length_b 4.578
_cell_length_c 7.975
_cell_angle_alpha 90.00
_cell_angle_beta 122.25
_cell_angle_gamma 90.00
_space_group_name_H-M_alt 'P 1'
_space_group_IT_number 1
_space_group_name_Hall 'P 1'
loop_
_atom_site_label
_atom_site_type_symbol
_atom_site_fract_x
_atom_site_fract_y
_atom_site_fract_z
Ni1 Ni 0.505 0.418 0.666
Ni2 Ni 0.495 0.918 0.834
Os1 Os 0.989 0.576 0.331
Ga1 Ga 0.500 0.900 0.500
Ga2 Ga 0.500 0.400 0.000
Ga3 Ga 0.000 0.082 0.500
Ni3 Ni 0.495 0.418 0.334
Os2 Os 0.011 0.076 0.169
Ni4 Ni 0.505 0.918 0.166
Os3 Os 0.011 0.576 0.669
Os4 Os 0.989 0.076 0.831
Ga4 Ga 0.000 0.582 0.000
```



Entry 7:
DFT (GGA-PBE) results for a geometry-optimized TbPmCdGa structure.

Summary:
- Calculated volume: 102 Å³/cell
- Space group: No. 99
- D(E_F): 2.7 states/eV per cell
- Offset from the most stable computed form: 0 meV per atom
- Energy relative to the elements: -454 meV/atom

```
data_TbPmCdGa
_cell_length_a 3.655
_cell_length_b 3.655
_cell_length_c 7.650
_cell_angle_alpha 90.00
_cell_angle_beta 90.00
_cell_angle_gamma 90.00
_space_group_name_H-M_alt 'P 1'
_space_group_IT_number 1
_space_group_name_Hall 'P 1'
loop_
_atom_site_label
_atom_site_type_symbol
_atom_site_fract_x
_atom_site_fract_y
_atom_site_fract_z
Cd1 Cd 0.500 0.500 0.117
Tb1 Tb 0.000 0.000 0.373
Ga1 Ga 0.500 0.500 0.598
Pm1 Pm 0.000 0.000 0.840
```



Entry 8:
DFT (GGA-PBE) results for a geometry-optimized ZnGeSe2 structure.

Summary:
- Calculated volume: 101 Å³/cell
- Space group: No. 1
- Uncorrected formation energy: -0.38 eV per atom

```
data_ZnGeSe2
_cell_length_a 3.962
_cell_length_b 3.962
_cell_length_c 7.733
_cell_angle_alpha 104.67
_cell_angle_beta 90.07
_cell_angle_gamma 119.97
_space_group_name_H-M_alt 'P 1'
_space_group_IT_number 1
_space_group_name_Hall 'P 1'
loop_
_atom_site_label
_atom_site_type_symbol
_atom_site_fract_x
_atom_site_fract_y
_atom_site_fract_z
Ge1 Ge 0.018 0.211 0.024
Se1 Se 0.747 0.667 0.210
Se2 Se 0.568 0.306 0.675
Zn1 Zn 0.862 0.895 0.557
```



Entry 9:
DFT (GGA-PBE) results for a geometry-optimized Ac2Pm3Nd6 structure.

Summary:
- Calculated volume: 414 Å³/cell
- Space group: No. 139
- D(E_F): 15.4 states/eV per cell
- Offset from the most stable computed form: 124 meV per atom
- Energy relative to the elements: 153 meV/atom

```
data_Ac2Pm3Nd6
_cell_length_a 4.954
_cell_length_b 4.954
_cell_length_c 17.220
_cell_angle_alpha 98.27
_cell_angle_beta 98.27
_cell_angle_gamma 90.00
_space_group_name_H-M_alt 'P 1'
_space_group_IT_number 1
_space_group_name_Hall 'P 1'
loop_
_atom_site_label
_atom_site_type_symbol
_atom_site_fract_x
_atom_site_fract_y
_atom_site_fract_z
Nd1 Nd 0.832 0.332 0.663
Nd2 Nd 0.750 0.750 0.501
Ac1 Ac 0.567 0.567 0.133
Pm1 Pm 0.906 0.906 0.811
Pm2 Pm 0.000 0.000 0.000
Ac2 Ac 0.433 0.433 0.867
Nd3 Nd 0.332 0.832 0.663
Nd4 Nd 0.250 0.250 0.499
Nd5 Nd 0.668 0.168 0.337
Pm3 Pm 0.094 0.094 0.189
Nd6 Nd 0.168 0.668 0.337
```



Entry 10:
DFT (GGA-PBE) results for a geometry-optimized RuPt2Cl structure.

Summary:
- Calculated volume: 66 Å³/cell
- Space group: No. 25
- D(E_F): 2.7 states/eV per cell
- Offset from the most stable computed form: 0 meV per atom
- Uncorrected formation energy: 0.24 eV per atom

```
data_RuPt2Cl
_cell_length_a 2.875
_cell_length_b 2.821
_cell_length_c 8.184
_cell_angle_alpha 90.03
_cell_angle_beta 90.00
_cell_angle_gamma 90.00
_space_group_name_H-M_alt 'P 1'
_space_group_IT_number 1
_space_group_name_Hall 'P 1'
loop_
_atom_site_label
_atom_site_type_symbol
_atom_site_fract_x
_atom_site_fract_y
_atom_site_fract_z
Ru1 Ru 0.000 0.750 0.487
Pt1 Pt 0.000 0.749 0.030
Cl1 Cl 0.500 0.751 0.717
Pt2 Pt 0.500 0.250 0.267
```



Entry 11:
DFT (GGA-PBE) results for a geometry-optimized Sc3TaRu structure.

Summary:
- Calculated volume: 122 Å³/cell
- Space group: No. 221
- D(E_F): 5.3 states/eV per cell
- Offset from the most stable computed form: 733 meV per atom
- Energy relative to the elements: 1207 meV/atom

```
data_Sc3TaRu
_cell_length_a 4.953
_cell_length_b 4.953
_cell_length_c 4.953
_cell_angle_alpha 90.00
_cell_angle_beta 90.00
_cell_angle_gamma 90.00
_space_group_name_H-M_alt 'P 1'
_space_group_IT_number 1
_space_group_name_Hall 'P 1'
loop_
_atom_site_label
_atom_site_type_symbol
_atom_site_fract_x
_atom_site_fract_y
_atom_site_fract_z
Ta1 Ta 0.000 0.000 0.000
Sc1 Sc 0.000 0.000 0.500
Sc2 Sc 0.000 0.500 0.000
Ru1 Ru 0.500 0.500 0.500
Sc3 Sc 0.500 0.000 0.000
```



Entry 12:
DFT (GGA-PBE) results for a geometry-optimized Mg2PaBO6 structure.

Summary:
- Calculated volume: 127 Å³/cell
- Space group: No. 99
- D(E_F): 0.0 states/eV per cell
- Uncorrected formation energy: -2.33 eV per atom

```
data_Mg2PaBO6
_cell_length_a 4.801
_cell_length_b 5.147
_cell_length_c 5.147
_cell_angle_alpha 90.00
_cell_angle_beta 90.00
_cell_angle_gamma 90.00
_space_group_name_H-M_alt 'P 1'
_space_group_IT_number 1
_space_group_name_Hall 'P 1'
loop_
_atom_site_label
_atom_site_type_symbol
_atom_site_fract_x
_atom_site_fract_y
_atom_site_fract_z
O1 O 0.136 0.500 0.500
O2 O 0.317 0.000 0.000
O3 O 0.733 0.226 0.226
Mg1 Mg 0.944 0.000 0.500
B1 B 0.601 0.000 0.000
O4 O 0.733 0.774 0.774
O5 O 0.733 0.774 0.226
Pa1 Pa 0.573 0.500 0.500
O6 O 0.733 0.226 0.774
Mg2 Mg 0.944 0.500 0.000
```